1.
Computed, not measured: an optimized crystal structure of AgGeSI at the GGA-PBE level of DFT.

It has space group P2_12_12_1 (No. 19), with a = 6.878 Å, b = 7.401 Å, c = 9.019 Å, α = 90.00°, β = 90.00° and γ = 90.00°. The inequivalent atoms are Ag at (0.105, 0.109, 0.338), Ge at (0.223, 0.586, 0.422), S at (0.035, 0.303, 0.110) and I at (0.017, 0.335, 0.614).

The raw total energy comes out at -3.46 eV/atom.



2.
Computed, not measured: an optimized crystal structure of InAgGe2 at the GGA-PBE level of DFT.

It has space group F-43m (No. 216), with a = 6.954 Å, b = 6.954 Å, c = 6.954 Å, α = 90.00°, β = 90.00° and γ = 90.00°. The inequivalent atoms are In at (0.000, 0.000, 0.000), Ag at (0.250, 0.250, 0.250), Ge at (0.000, 0.000, 0.500) and Ge at (0.250, 0.250, 0.750).

The raw total energy comes out at -3.47 eV/atom.



3.
Computed, not measured: an optimized crystal structure of Na4InAg2Ge at the GGA-PBE level of DFT.

It has space group P-4m2 (No. 115), with a = 4.966 Å, b = 4.966 Å, c = 7.133 Å, α = 90.00°, β = 90.00° and γ = 90.00°. The inequivalent atoms are Na at (0.000, 0.000, 0.000), Na at (0.000, 0.500, 0.233), Na at (0.500, 0.500, 0.500), In at (0.000, 0.000, 0.500), Ag at (0.000, 0.500, 0.763) and Ge at (0.500, 0.500, 0.000).

The raw total energy comes out at -2.34 eV/atom.



4.
Computed, not measured: an optimized crystal structure of InAgGeS3 at the GGA-PBE level of DFT.

It has space group Cmcm (No. 63), with a = 3.727 Å, b = 14.011 Å, c = 10.258 Å, α = 90.00°, β = 90.00° and γ = 90.00°. The inequivalent atoms are In at (0.000, 0.000, 0.000), Ag at (0.000, 0.333, 0.250), Ge at (0.000, 0.330, 0.750), S at (0.000, 0.054, 0.250) and S at (0.000, 0.370, 0.019).

The offset from the most stable computed form is 0.000 eV/f.u.



5.
Computed, not measured: an optimized crystal structure of InAgGeS3 at the GGA-PBE level of DFT.

It has space group Cmcm (No. 63), with a = 3.660 Å, b = 13.155 Å, c = 10.622 Å, α = 90.00°, β = 90.00° and γ = 90.00°. The inequivalent atoms are In at (0.000, 0.216, 0.250), Ag at (0.000, 0.496, 0.250), Ge at (0.000, 0.000, 0.000), S at (0.000, 0.139, 0.750) and S at (0.000, 0.369, 0.578).

The offset from the most stable computed form is 1.120 eV/f.u.



6.
Computed, not measured: an optimized crystal structure of InAgGeTeS2 at the GGA-PBE level of DFT.

It has space group Cmcm (No. 63), with a = 3.451 Å, b = 15.322 Å, c = 11.031 Å, α = 90.00°, β = 90.00° and γ = 90.00°. The inequivalent atoms are In at (0.000, 0.206, 0.250), Ag at (0.000, 0.138, 0.750), Ge at (0.000, 0.500, 0.000), Te at (0.000, 0.465, 0.750) and S at (0.000, 0.116, 0.523).

The raw total energy comes out at -3.67 eV/atom.



7.
Computed, not measured: an optimized crystal structure of InAgGeTe2Se at the GGA-PBE level of DFT.

It has space group Cmcm (No. 63), with a = 4.055 Å, b = 13.711 Å, c = 11.241 Å, α = 90.00°, β = 90.00° and γ = 90.00°. The inequivalent atoms are In at (0.000, 0.239, 0.250), Ag at (0.000, 0.481, 0.750), Ge at (0.000, 0.000, 0.000), Te at (0.000, 0.351, 0.558) and Se at (0.000, 0.108, 0.750).

The raw total energy comes out at -3.38 eV/atom.



8.
Computed, not measured: an optimized crystal structure of InAgGeTe3 at the GGA-PBE level of DFT.

It has space group Cmcm (No. 63), with a = 4.177 Å, b = 13.438 Å, c = 11.772 Å, α = 90.00°, β = 90.00° and γ = 90.00°. The inequivalent atoms are In at (0.000, 0.227, 0.250), Ag at (0.000, 0.457, 0.750), Ge at (0.000, 0.000, 0.000), Te at (0.000, 0.100, 0.750) and Te at (0.000, 0.351, 0.549).

The offset from the most stable computed form is 0.000 eV/f.u.



9.
Computed, not measured: an optimized crystal structure of InAgGeTe3 at the GGA-PBE level of DFT.

It has space group Cmcm (No. 63), with a = 4.131 Å, b = 13.377 Å, c = 12.389 Å, α = 90.00°, β = 90.00° and γ = 90.00°. The inequivalent atoms are In at (0.000, 0.000, 0.000), Ag at (0.000, 0.471, 0.250), Ge at (0.000, 0.224, 0.750), Te at (0.000, 0.121, 0.250) and Te at (0.000, 0.352, 0.067).

The offset from the most stable computed form is 0.019 eV/f.u.



10.
Computed, not measured: an optimized crystal structure of InAg3GeTe4 at the GGA-PBE level of DFT.

It has space group P2_1/m (No. 11), with a = 6.842 Å, b = 8.285 Å, c = 10.549 Å, α = 90.00°, β = 102.05° and γ = 90.00°. The inequivalent atoms are In at (0.167, 0.250, 0.040), Ag at (0.214, 0.056, 0.527), Ag at (0.314, 0.250, 0.765), Ge at (0.210, 0.750, 0.271), Te at (0.024, 0.509, 0.736), Te at (0.330, 0.750, 0.054) and Te at (0.456, 0.750, 0.503).

The offset from the most stable computed form is 0.128 eV/f.u.



11.
Computed, not measured: an optimized crystal structure of InAg3GeTe4 at the GGA-PBE level of DFT.

It has space group P-43m (No. 215), with a = 6.622 Å, b = 6.622 Å, c = 6.622 Å, α = 90.00°, β = 90.00° and γ = 90.00°. The inequivalent atoms are In at (0.000, 0.000, 0.000), Ag at (0.000, 0.500, 0.500), Ge at (0.500, 0.500, 0.500) and Te at (0.251, 0.251, 0.251).

The offset from the most stable computed form is 0.000 eV/f.u.



12.
Computed, not measured: an optimized crystal structure of AgGe5Ir3 at the GGA-PBE level of DFT.

It has space group P6/mmm (No. 191), with a = 5.4197 Å, b = 5.4197 Å, c = 6.4960 Å, α = 90.00°, β = 90.00° and γ = 120.00°. The inequivalent atoms are Ag at (0.0000, 0.0000, 0.0000), Ge at (0.0000, 0.0000, 0.5000), Ge at (0.3333, 0.6667, 0.1927) and Ir at (0.0000, 0.5000, 0.5000).

The magnetic moment is 0.01 μB/f.u. The raw total energy comes out at -5.72 eV/atom.



13.
Computed, not measured: an optimized crystal structure of AgGe2Ir at the GGA-PBE level of DFT.

It has space group F-43m (No. 216), with a = 6.470 Å, b = 6.470 Å, c = 6.470 Å, α = 90.00°, β = 90.00° and γ = 90.00°. The inequivalent atoms are Ag at (0.000, 0.000, 0.000), Ge at (0.000, 0.000, 0.500), Ge at (0.250, 0.250, 0.250) and Ir at (0.250, 0.250, 0.750).

The magnetic moment is 0.01 μB/f.u. The raw total energy comes out at -4.85 eV/atom.



14.
Computed, not measured: an optimized crystal structure of AgGeIr2 at the GGA-PBE level of DFT.

It has space group F-43m (No. 216), with a = 6.319 Å, b = 6.319 Å, c = 6.319 Å, α = 90.00°, β = 90.00° and γ = 90.00°. The inequivalent atoms are Ag at (0.000, 0.000, 0.000), Ge at (0.250, 0.250, 0.750), Ir at (0.000, 0.000, 0.500) and Ir at (0.250, 0.250, 0.250).

The magnetic moment is 0.29 μB/f.u. The raw total energy comes out at -5.87 eV/atom.



15.
Computed, not measured: an optimized crystal structure of La2PrAg2Ge4Ir2 at the GGA-PBE level of DFT.

It has space group Immm (No. 71), with a = 4.166 Å, b = 4.362 Å, c = 26.214 Å, α = 90.00°, β = 90.00° and γ = 90.00°. The inequivalent atoms are La at (0.000, 0.000, 0.153), Pr at (0.000, 0.500, 0.000), Ag at (0.000, 0.000, 0.402), Ge at (0.000, 0.000, 0.302), Ge at (0.000, 0.500, 0.452) and Ir at (0.000, 0.500, 0.251).

The magnetic moment is 0.01 μB/f.u. The raw total energy comes out at -5.82 eV/atom.



16.
Computed, not measured: an optimized crystal structure of Li4AgGe2Ir at the GGA-PBE level of DFT.

It has space group P-4m2 (No. 115), with a = 4.322 Å, b = 4.322 Å, c = 6.058 Å, α = 90.00°, β = 90.00° and γ = 90.00°. The inequivalent atoms are Li at (0.000, 0.000, 0.000), Li at (0.000, 0.500, 0.748), Li at (0.500, 0.500, 0.500), Ag at (0.500, 0.500, 0.000), Ge at (0.000, 0.500, 0.281) and Ir at (0.000, 0.000, 0.500).

The magnetic moment is 0.02 μB/f.u. The raw total energy comes out at -3.95 eV/atom.



17.
Computed, not measured: an optimized crystal structure of PrAgGe2Ir at the GGA-PBE level of DFT.

It has space group P4/nmm (No. 129, origin choice 2), with a = 4.398 Å, b = 4.398 Å, c = 10.376 Å, α = 90.00°, β = 90.00° and γ = 90.00°. The inequivalent atoms are Pr at (0.250, 0.250, 0.239), Ag at (0.250, 0.750, 0.500), Ge at (0.250, 0.250, 0.652), Ge at (0.250, 0.750, 0.000) and Ir at (0.250, 0.250, 0.885).

The magnetic moment is 0.01 μB/f.u. The raw total energy comes out at -5.76 eV/atom.



18.
Computed, not measured: an optimized crystal structure of AgGeIrS3 at the GGA-PBE level of DFT.

It has space group Cmcm (No. 63), with a = 3.599 Å, b = 15.002 Å, c = 8.930 Å, α = 90.00°, β = 90.00° and γ = 90.00°. The inequivalent atoms are Ag at (0.000, 0.202, 0.250), Ge at (0.000, 0.160, 0.750), Ir at (0.000, 0.500, 0.000), S at (0.000, 0.104, 0.022) and S at (0.000, 0.450, 0.250).

The magnetic moment is 0.00 μB/f.u. The raw total energy comes out at -5.03 eV/atom.



19.
Computed, not measured: an optimized crystal structure of K4Ag7Ge2 at the GGA-PBE level of DFT.

It has space group R-3m (No. 166, hexagonal axes), with a = 6.4679 Å, b = 6.4679 Å, c = 29.9982 Å, α = 90.00°, β = 90.00° and γ = 120.00°. The inequivalent atoms are K at (0.0000, 0.0000, 0.1846), K at (0.0000, 0.0000, 0.3127), Ag at (0.0000, 0.0000, 0.5000), Ag at (0.0426, 0.5213, 0.2443) and Ge at (0.0000, 0.0000, 0.0418).

The raw total energy comes out at -2.63 eV/atom.



20.
Computed, not measured: an optimized crystal structure of KAg2Ge2 at the GGA-PBE level of DFT.

It has space group I4/mmm (No. 139), with a = 4.727 Å, b = 4.727 Å, c = 10.270 Å, α = 90.00°, β = 90.00° and γ = 90.00°. The inequivalent atoms are K at (0.000, 0.000, 0.000), Ag at (0.000, 0.500, 0.250) and Ge at (0.000, 0.000, 0.379).

The raw total energy comes out at -3.22 eV/atom.



21.
Computed, not measured: an optimized crystal structure of KAgGeO3 at the GGA-PBE level of DFT.

It has space group Pnma (No. 62), with a = 11.698 Å, b = 3.000 Å, c = 10.177 Å, α = 90.00°, β = 90.00° and γ = 90.00°. The inequivalent atoms are K at (0.237, 0.250, 0.134), Ag at (0.033, 0.250, 0.902), Ge at (0.022, 0.250, 0.374), O at (0.081, 0.250, 0.547), O at (0.083, 0.750, 0.766) and O at (0.108, 0.750, 0.311).

The raw total energy comes out at -5.08 eV/atom.



22.
Computed, not measured: an optimized crystal structure of KAg3GeO4 at the GGA-PBE level of DFT.

It has space group P-43m (No. 215), with a = 5.716 Å, b = 5.716 Å, c = 5.716 Å, α = 90.00°, β = 90.00° and γ = 90.00°. The inequivalent atoms are K at (0.000, 0.000, 0.000), Ag at (0.000, 0.500, 0.500), Ge at (0.500, 0.500, 0.500) and O at (0.318, 0.318, 0.318).

The raw total energy comes out at -4.50 eV/atom.